No. 1
The following is a DFT calculation (PBE) of an optimized crystal structure of InRe2Bi2.

CIF file:
```
data_InRe2Bi2
_space_group_name_H-M_alt 'P 1'
_space_group_IT_number 1
_cell_length_a 8.4823
_cell_length_b 8.4823
_cell_length_c 3.0885
_cell_angle_alpha 90.00
_cell_angle_beta 90.00
_cell_angle_gamma 90.00
loop_
_space_group_symop_operation_xyz
'x,y,z'
loop_
_atom_site_label
_atom_site_type_symbol
_atom_site_fract_x
_atom_site_fract_y
_atom_site_fract_z
Re1 Re 0.3600 0.1400 0.5000
Re2 Re 0.8600 0.3600 0.5000
Re3 Re 0.1400 0.6400 0.5000
Re4 Re 0.6400 0.8600 0.5000
Bi1 Bi 0.3509 0.8509 0.0000
Bi2 Bi 0.1491 0.3509 0.0000
Bi3 Bi 0.6491 0.1491 0.0000
Bi4 Bi 0.8509 0.6491 0.0000
In1 In 0.0000 0.0000 0.0000
In2 In 0.5000 0.5000 0.0000
```

- magnetization (μB/atom) = 0.000
- calculated density (g/cm³) = 13.53


No. 2
The following is a DFT calculation (PBE) of an optimized crystal structure of In2ReBi.

CIF file:
```
data_In2ReBi
_space_group_name_H-M_alt 'P 1'
_space_group_IT_number 1
_cell_length_a 4.2709
_cell_length_b 4.2709
_cell_length_c 10.9598
_cell_angle_alpha 78.76
_cell_angle_beta 78.76
_cell_angle_gamma 90.00
loop_
_space_group_symop_operation_xyz
'x,y,z'
loop_
_atom_site_label
_atom_site_type_symbol
_atom_site_fract_x
_atom_site_fract_y
_atom_site_fract_z
In1 In 0.1466 0.6250 0.2500
In2 In 0.3750 0.3966 0.7500
In3 In 0.6034 0.1250 0.2500
In4 In 0.8750 0.8534 0.7500
Bi1 Bi 0.7500 0.2500 0.5000
Bi2 Bi 0.0000 0.0000 0.0000
Re1 Re 0.2500 0.7500 0.5000
Re2 Re 0.5000 0.5000 0.0000
```

- magnetization (μB/atom) = 0.389
- calculated density (g/cm³) = 10.80


No. 3
The following is a DFT calculation (PBE) of an optimized crystal structure of In3ReBi.

CIF file:
```
data_In3ReBi
_space_group_name_H-M_alt 'P 1'
_space_group_IT_number 1
_cell_length_a 5.2901
_cell_length_b 5.2901
_cell_length_c 5.2901
_cell_angle_alpha 90.00
_cell_angle_beta 90.00
_cell_angle_gamma 90.00
loop_
_space_group_symop_operation_xyz
'x,y,z'
loop_
_atom_site_label
_atom_site_type_symbol
_atom_site_fract_x
_atom_site_fract_y
_atom_site_fract_z
Bi1 Bi 0.5000 0.5000 0.5000
Re1 Re 0.0000 0.0000 0.0000
In1 In 0.0000 0.5000 0.0000
In2 In 0.0000 0.0000 0.5000
In3 In 0.5000 0.0000 0.0000
```

- magnetization (μB/atom) = 0.468
- calculated density (g/cm³) = 8.30


No. 4
The following is a DFT calculation (PBE) of an optimized crystal structure of In2ReBi2.

CIF file:
```
data_In2ReBi2
_space_group_name_H-M_alt 'P 1'
_space_group_IT_number 1
_cell_length_a 4.2495
_cell_length_b 4.2495
_cell_length_c 8.7885
_cell_angle_alpha 76.01
_cell_angle_beta 76.01
_cell_angle_gamma 90.00
loop_
_space_group_symop_operation_xyz
'x,y,z'
loop_
_atom_site_label
_atom_site_type_symbol
_atom_site_fract_x
_atom_site_fract_y
_atom_site_fract_z
Bi1 Bi 0.7500 0.2500 0.5000
Bi2 Bi 0.2500 0.7500 0.5000
Re1 Re 0.0000 0.0000 0.0000
In1 In 0.4149 0.4149 0.1702
In2 In 0.5851 0.5851 0.8298
```

- magnetization (μB/atom) = 0.663
- calculated density (g/cm³) = 9.28


ΔE_f in eV per atom, matching the order above: 1.173; 0.879; 0.650; 1.186